A relaxed structure of LiCoGe2O6. Source: Alexandria via LeMat-Bulk, functional PBE+U.

## Properties
The calculation puts the calculated total energy at -244.37 eV/cell.

abc: 9.495 8.651 5.182
angles: 90.00 101.74 90.00
Space group C2/c (No. 15)
Unique sites:
Li  0.000  0.232  0.250
Co  0.000  0.412  0.750
Ge  0.199  0.097  0.797
O  0.107  0.418  0.116
O  0.120  0.261  0.632
O  0.137  0.068  0.097